# 1
Zn2Sn2Pb | Alexandria via LeMat-Bulk | GGA-PBEsol | relaxed; calculated density = 8.6 g/cm³; formation enthalpy at 0 K = 0.095 eV/atom; energy relative to the lowest polymorph listed for this composition = 0.000 eV/atom; D(E_F) = 4.4 states/eV per cell
1.0
8.114 0.000 0.000
0.000 8.114 0.000
0.000 0.000 3.387
Zn Sn Pb
4 4 2
Direct
0.116 0.384 0.000
0.384 0.884 0.000
0.616 0.116 0.000
0.884 0.616 0.000
0.180 0.680 0.500
0.320 0.180 0.500
0.680 0.820 0.500
0.820 0.320 0.500
0.000 0.000 0.000
0.500 0.500 0.000

# 2
MgMo2Se | Alexandria via LeMat-Bulk | GGA-PBEsol | relaxed; calculated density = 7.6 g/cm³; energy relative to the elements, uncorrected = 247 meV per atom; energy relative to the lowest polymorph listed for this composition = 0.000 eV/atom; D(E_F) = 2.9 states/eV per cell
1.0
4.753 -1.559 0.000
4.753 1.559 0.000
-0.887 0.000 4.361
Mg Mo Se
1 2 1
Direct
0.000 0.000 0.000
0.242 0.242 0.738
0.758 0.758 0.262
0.500 0.500 0.500

# 3
InPH4O6 | Alexandria via LeMat-Bulk | GGA-PBEsol | relaxed; calculated density = 3.5 g/cm³; energy relative to the lowest polymorph listed for this composition = 0.005 eV/atom; D(E_F) = 0.0 states/eV per cell
1.0
8.767 0.000 0.000
0.000 10.144 0.000
0.000 0.000 10.481
In P H O
8 8 32 48
Direct
0.156 0.170 0.132
0.156 0.330 0.632
0.344 0.670 0.132
0.344 0.830 0.632
0.656 0.170 0.368
0.656 0.330 0.868
0.844 0.670 0.368
0.844 0.830 0.868
0.024 0.642 0.651
0.024 0.858 0.151
0.476 0.142 0.651
0.476 0.358 0.151
0.524 0.642 0.849
0.524 0.858 0.349
0.976 0.142 0.849
0.976 0.358 0.349
0.141 0.554 0.964
0.141 0.946 0.464
0.165 0.571 0.333
0.165 0.929 0.833
0.190 0.172 0.378
0.190 0.328 0.878
0.207 0.046 0.570
0.207 0.454 0.070
0.293 0.546 0.570
0.293 0.954 0.070
0.310 0.672 0.378
0.310 0.828 0.878
0.335 0.071 0.333
0.335 0.429 0.833
0.359 0.054 0.964
0.359 0.446 0.464
0.641 0.554 0.536
0.641 0.946 0.036
0.665 0.571 0.167
0.665 0.929 0.667
0.690 0.172 0.122
0.690 0.328 0.622
0.707 0.046 0.930
0.707 0.454 0.430
0.793 0.546 0.930
0.793 0.954 0.430
0.810 0.672 0.122
0.810 0.828 0.622
0.835 0.071 0.167
0.835 0.429 0.667
0.859 0.054 0.536
0.859 0.446 0.036
0.003 0.696 0.787
0.003 0.804 0.287
0.005 0.509 0.357
0.005 0.991 0.857
0.089 0.213 0.940
0.089 0.287 0.440
0.161 0.546 0.056
0.161 0.954 0.556
0.192 0.665 0.607
0.192 0.835 0.107
0.225 0.100 0.317
0.225 0.400 0.817
0.275 0.600 0.317
0.275 0.900 0.817
0.308 0.165 0.607
0.308 0.335 0.107
0.339 0.046 0.056
0.339 0.454 0.556
0.411 0.713 0.940
0.411 0.787 0.440
0.495 0.009 0.357
0.495 0.491 0.857
0.497 0.196 0.787
0.497 0.304 0.287
0.503 0.696 0.713
0.503 0.804 0.213
0.505 0.509 0.143
0.505 0.991 0.643
0.589 0.213 0.560
0.589 0.287 0.060
0.661 0.546 0.444
0.661 0.954 0.944
0.692 0.665 0.893
0.692 0.835 0.393
0.725 0.100 0.183
0.725 0.400 0.683
0.775 0.600 0.183
0.775 0.900 0.683
0.808 0.165 0.893
0.808 0.335 0.393
0.839 0.046 0.444
0.839 0.454 0.944
0.911 0.713 0.560
0.911 0.787 0.060
0.995 0.009 0.143
0.995 0.491 0.643
0.997 0.196 0.713
0.997 0.304 0.213

# 4
K2SiAs | Alexandria via LeMat-Bulk | GGA-PBEsol | relaxed; calculated density = 3.1 g/cm³; energy relative to the elements, uncorrected = 188 meV per atom; energy relative to the lowest polymorph listed for this composition = 0.413 eV/atom; D(E_F) = 1.9 states/eV per cell
1.0
3.050 0.000 0.000
0.000 5.214 0.000
0.000 0.000 6.006
K Si As
2 1 1
Direct
0.000 0.000 0.244
0.000 0.000 0.756
0.500 0.500 0.500
0.500 0.500 0.000

# 5
YPb | Alexandria via LeMat-Bulk | GGA-PBEsol | relaxed; calculated density = 9.1 g/cm³; formation enthalpy at 0 K = -0.597 eV/atom; D(E_F) = 14.0 states/eV per cell
1.0
10.471 0.000 0.000
0.000 9.531 0.000
0.000 0.000 6.526
Y Pb
12 12
Direct
0.107 0.250 0.000
0.107 0.250 0.500
0.185 0.630 0.250
0.185 0.870 0.750
0.390 0.032 0.250
0.390 0.468 0.750
0.610 0.532 0.250
0.610 0.968 0.750
0.815 0.130 0.250
0.815 0.370 0.750
0.893 0.750 0.000
0.893 0.750 0.500
0.090 0.551 0.750
0.090 0.949 0.250
0.340 0.135 0.750
0.340 0.365 0.250
0.417 0.750 0.000
0.417 0.750 0.500
0.583 0.250 0.000
0.583 0.250 0.500
0.660 0.635 0.750
0.660 0.865 0.250
0.910 0.051 0.750
0.910 0.449 0.250

# 6
MgCdHg2 | Alexandria via LeMat-Bulk | GGA-PBEsol | relaxed; calculated density = 10.6 g/cm³; formation enthalpy at 0 K = -0.134 eV/atom; D(E_F) = 1.2 states/eV per cell
1.0
-2.161 2.161 4.533
2.161 -2.161 4.533
2.161 2.161 -4.533
Mg Cd Hg
1 1 2
Direct
0.000 0.000 0.000
0.750 0.250 0.500
0.250 0.750 0.500
0.500 0.500 0.000